No. 1
Compound: SmDy2P3
Source: Alexandria
Functional: GGA-PBE
Structure: optimized geometry

Geometry as CIF:
```
data_SmDy2P3
_chemical_formula_sum 'Sm1 Dy2 P3'
_space_group_name_H-M_alt 'P 1'
_space_group_IT_number 1
_cell_length_a 6.9976
_cell_length_b 6.9976
_cell_length_c 6.9976
_cell_angle_alpha 146.41
_cell_angle_beta 131.80
_cell_angle_gamma 60.03
loop_
_space_group_symop_operation_xyz
'x,y,z'
loop_
_atom_site_label
_atom_site_type_symbol
_atom_site_fract_x
_atom_site_fract_y
_atom_site_fract_z
Sm1 Sm 0.0000 0.0000 0.0000
Dy1 Dy 0.3338 0.3338 0.0000
Dy2 Dy 0.6662 0.6662 0.0000
P1 P 0.1699 0.6699 0.5000
P2 P 0.5000 0.0000 0.5000
P3 P 0.8301 0.3301 0.5000
```

Calculated values
DOS at the Fermi energy	0.8	states/eV per cell
DFT total energy	-39.7	eV for the cell shown

---

No. 2
Compound: Sm2DyP3
Source: Alexandria
Functional: GGA-PBE
Structure: optimized geometry

Geometry as CIF:
```
data_Sm2DyP3
_chemical_formula_sum 'Sm4 Dy2 P6'
_space_group_name_H-M_alt 'P 1'
_space_group_IT_number 1
_cell_length_a 7.0565
_cell_length_b 7.0565
_cell_length_c 7.0571
_cell_angle_alpha 99.58
_cell_angle_beta 99.58
_cell_angle_gamma 119.99
loop_
_space_group_symop_operation_xyz
'x,y,z'
loop_
_atom_site_label
_atom_site_type_symbol
_atom_site_fract_x
_atom_site_fract_y
_atom_site_fract_z
Sm1 Sm 0.0000 0.0000 0.0000
Sm2 Sm 0.1660 0.8340 0.5000
Sm3 Sm 0.5000 0.5000 0.5000
Sm4 Sm 0.8340 0.1660 0.5000
Dy1 Dy 0.3331 0.6669 0.0000
Dy2 Dy 0.6669 0.3331 0.0000
P1 P 0.0821 0.4187 0.2461
P2 P 0.2548 0.2548 0.7545
P3 P 0.4187 0.0821 0.2461
P4 P 0.5813 0.9179 0.7539
P5 P 0.7452 0.7452 0.2455
P6 P 0.9179 0.5813 0.7539
```

Calculated values
DOS at the Fermi energy	1.5	states/eV per cell
DFT total energy	-79.5	eV for the cell shown

---

No. 3
Compound: Sm5Dy3P8
Source: Alexandria
Functional: GGA-PBE
Structure: optimized geometry

Geometry as CIF:
```
data_Sm5Dy3P8
_chemical_formula_sum 'Sm5 Dy3 P8'
_space_group_name_H-M_alt 'P 1'
_space_group_IT_number 1
_cell_length_a 8.1406
_cell_length_b 8.1406
_cell_length_c 8.1406
_cell_angle_alpha 60.00
_cell_angle_beta 60.00
_cell_angle_gamma 60.00
loop_
_space_group_symop_operation_xyz
'x,y,z'
loop_
_atom_site_label
_atom_site_type_symbol
_atom_site_fract_x
_atom_site_fract_y
_atom_site_fract_z
Sm1 Sm 0.0000 0.0000 0.0000
Sm2 Sm 0.0000 0.5000 0.5000
Sm3 Sm 0.5000 0.0000 0.5000
Sm4 Sm 0.5000 0.5000 0.0000
Sm5 Sm 0.5000 0.5000 0.5000
Dy1 Dy 0.0000 0.0000 0.5000
Dy2 Dy 0.0000 0.5000 0.0000
Dy3 Dy 0.5000 0.0000 0.0000
P1 P 0.2459 0.7500 0.7500
P2 P 0.2480 0.2480 0.2480
P3 P 0.2500 0.2500 0.7541
P4 P 0.2500 0.7541 0.2500
P5 P 0.7500 0.2459 0.7500
P6 P 0.7500 0.7500 0.2459
P7 P 0.7520 0.7520 0.7520
P8 P 0.7541 0.2500 0.2500
```

Calculated values
DOS at the Fermi energy	2.1	states/eV per cell
DFT total energy	-106.0	eV for the cell shown

---

No. 4
Compound: TbSm3Dy2P6
Source: Alexandria
Functional: GGA-PBE
Structure: optimized geometry

Geometry as CIF:
```
data_TbSm3Dy2P6
_chemical_formula_sum 'Tb1 Sm3 Dy2 P6'
_space_group_name_H-M_alt 'P 1'
_space_group_IT_number 1
_cell_length_a 7.0338
_cell_length_b 7.0338
_cell_length_c 7.0334
_cell_angle_alpha 99.59
_cell_angle_beta 99.59
_cell_angle_gamma 119.99
loop_
_space_group_symop_operation_xyz
'x,y,z'
loop_
_atom_site_label
_atom_site_type_symbol
_atom_site_fract_x
_atom_site_fract_y
_atom_site_fract_z
Tb1 Tb 0.0000 0.0000 0.0000
Sm1 Sm 0.1665 0.8335 0.5000
Sm2 Sm 0.5000 0.5000 0.5000
Sm3 Sm 0.8335 0.1665 0.5000
Dy1 Dy 0.3333 0.6667 0.0000
Dy2 Dy 0.6667 0.3333 0.0000
P1 P 0.0814 0.4155 0.2444
P2 P 0.2526 0.2526 0.7557
P3 P 0.4155 0.0814 0.2444
P4 P 0.5845 0.9186 0.7556
P5 P 0.7474 0.7474 0.2443
P6 P 0.9186 0.5845 0.7556
```

Calculated values
DOS at the Fermi energy	1.6	states/eV per cell
DFT total energy	-79.5	eV for the cell shown

---

No. 5
Compound: Tb2SmDyP4
Source: Alexandria
Functional: GGA-PBE
Structure: optimized geometry

Geometry as CIF:
```
data_Tb2SmDyP4
_chemical_formula_sum 'Tb2 Sm1 Dy1 P4'
_space_group_name_H-M_alt 'P 1'
_space_group_IT_number 1
_cell_length_a 7.0014
_cell_length_b 4.0446
_cell_length_c 7.0019
_cell_angle_alpha 90.00
_cell_angle_beta 109.46
_cell_angle_gamma 90.00
loop_
_space_group_symop_operation_xyz
'x,y,z'
loop_
_atom_site_label
_atom_site_type_symbol
_atom_site_fract_x
_atom_site_fract_y
_atom_site_fract_z
Tb1 Tb 0.0000 0.0000 0.0000
Tb2 Tb 0.5000 0.5000 0.0000
Sm1 Sm 0.0000 0.5000 0.5000
Dy1 Dy 0.5000 0.0000 0.5000
P1 P 0.2525 0.5000 0.2493
P2 P 0.2536 0.0000 0.7528
P3 P 0.7464 0.0000 0.2472
P4 P 0.7475 0.5000 0.7507
```

Calculated values
DOS at the Fermi energy	0.8	states/eV per cell
DFT total energy	-53.0	eV for the cell shown

---

No. 6
Compound: TbSm2DyP4
Source: Alexandria
Functional: GGA-PBE
Structure: optimized geometry

Geometry as CIF:
```
data_TbSm2DyP4
_chemical_formula_sum 'Tb1 Sm2 Dy1 P4'
_space_group_name_H-M_alt 'P 1'
_space_group_IT_number 1
_cell_length_a 7.0351
_cell_length_b 4.0645
_cell_length_c 7.0363
_cell_angle_alpha 90.00
_cell_angle_beta 109.46
_cell_angle_gamma 90.00
loop_
_space_group_symop_operation_xyz
'x,y,z'
loop_
_atom_site_label
_atom_site_type_symbol
_atom_site_fract_x
_atom_site_fract_y
_atom_site_fract_z
Tb1 Tb 0.0000 0.0000 0.0000
Sm1 Sm 0.5000 0.0000 0.5000
Sm2 Sm 0.5000 0.5000 0.0000
Dy1 Dy 0.0000 0.5000 0.5000
P1 P 0.2444 0.0000 0.7475
P2 P 0.2447 0.5000 0.2488
P3 P 0.7553 0.5000 0.7512
P4 P 0.7556 0.0000 0.2525
```

Calculated values
DOS at the Fermi energy	0.7	states/eV per cell
DFT total energy	-53.0	eV for the cell shown